Compound: Tl2Ga2Ge
Source: the Alexandria database
Functional: PBE-GGA
Structure: relaxed

Cell: 9.502 9.502 9.502 Å, 157.43 157.43 32.13°
Sites, in units of the cell vectors:
Tl  0.101  0.101  0.000
Tl  0.899  0.899  0.000
Ga  0.250  0.750  0.500
Ga  0.750  0.250  0.500
Ge  0.500  0.500  0.000

Calculated total energy   -2.878 eV/atom
Theoretical density   8.2 g/cm³
Formation energy from the elements   0.20 eV per atom
D(E_F)   2.302 states/eV per cell